{
  "formula": "CdGeMo2",
  "functional": "PBE",
  "state": "relaxed",
  "lattice": [[-2.1398, -0.8588, 3.8967], [-2.3981, 3.2589, 2.0318], [-4.5203, -0.2405, 0.0952]],
  "species": ["Ge", "Cd", "Mo", "Mo"],
  "frac_coords": [[0.0000, 0.0000, 0.0000], [0.5000, 0.5000, 0.5000], [0.7500, 0.7500, 0.7500], [0.2500, 0.2500, 0.2500]],
  "final_energy_ev_per_atom": -6.2860,
  "formation_enthalpy_0k_ev_per_fu": 2.05,
  "e_above_lowest_polymorph_mev_per_atom": 0.0,
  "sg": "Fm-3m",
  "magmom_total_mub_per_cell": 0.00
}